Entry from Alexandria via LeMat-Bulk: a relaxed structure of RbNaLa2 (PBE).

Calculated values
Its energy of formation from the pure elements is 0.63 eV/atom. The excess energy over the best structure of this formula in the dataset comes out at 12 meV per atom. The volume comes out at 168.2 Å³ per cell. The calculation puts the total energy at -9.63 eV per cell. The value obtained for the mass density is 3.81 g cm⁻³.

Lattice parameters (Å, degrees): 6.196 6.196 6.196 60.00 60.00 60.00
Fractional coordinates of all 4 atoms:
Na (0.000, 0.000, 0.000)
Rb (0.500, 0.500, 0.500)
La (0.250, 0.250, 0.250)
La (0.750, 0.750, 0.750)